# 1
A plane-wave DFT calculation with PBE was carried out for crystalline Re4Os3 at its relaxed geometry.

Results
- D(E_F): 7.92 states/eV/f.u.
- Symmetry: R-3m (166)

a = 6.9734 Å, b = 6.9734 Å, c = 6.9734 Å
α = 36.45°, β = 36.45°, γ = 36.45°
Closest atoms and distances in Å follow each position.
Positions (direct):
Re 0.1623 0.1623 0.1623  4 Re 2.52-2.60, 3 Os 2.81
Os 0.4318 0.4318 0.4318  10 Re 2.66-2.89, 1 Os 2.66
Re 0.7046 0.7046 0.7046  1 Re 2.60, 7 Os 2.62-2.78
Os 0.0000 0.0000 0.0000  6 Re 2.62
Re 0.8377 0.8377 0.8377  4 Re 2.52-2.60, 3 Os 2.81
Re 0.2954 0.2954 0.2954  1 Re 2.60, 7 Os 2.62-2.78
Os 0.5682 0.5682 0.5682  10 Re 2.66-2.89, 1 Os 2.66

# 2
A plane-wave DFT calculation with PBE was carried out for crystalline ReOs7 at its relaxed geometry.

Results
- D(E_F): 6.59 states/eV/f.u.
- Symmetry: Cmmm (65)

a = 6.1139 Å, b = 6.1139 Å, c = 3.8580 Å
α = 90.00°, β = 90.00°, γ = 126.86°
Closest atoms and distances in Å follow each position.
Positions (direct):
Os 0.2494 0.7506 0.5000  1 Re 2.73, 11 Os 2.73-2.74
Os 0.1254 0.3759 0.0000  10 Os 2.73-2.74, 2 Re 2.73
Re 0.0000 0.0000 0.5000  12 Os 2.73
Os 0.7506 0.2494 0.5000  1 Re 2.73, 11 Os 2.73-2.74
Os 0.5000 0.5000 0.5000  10 Os 2.73-2.74, 2 Re 2.73
Os 0.8746 0.6241 0.0000  10 Os 2.73-2.74, 2 Re 2.73
Os 0.3759 0.1254 0.0000  10 Os 2.73-2.74, 2 Re 2.73
Os 0.6241 0.8746 0.0000  10 Os 2.73-2.74, 2 Re 2.73

# 3
A plane-wave DFT calculation with PBE was carried out for crystalline ReOs2 at its relaxed geometry.

Results
- D(E_F): 2.00 states/eV/f.u.
- Symmetry: Cmcm (63)

a = 2.7641 Å, b = 7.3207 Å, c = 4.3764 Å
α = 90.00°, β = 90.00°, γ = 79.12°
Closest atoms and distances in Å follow each position.
Positions (direct):
Os 0.5550 0.8901 0.5000  10 Os 2.70-2.77, 2 Re 2.75
Re 0.3324 0.3353 0.0000  6 Os 2.70-2.78, 6 Re 2.72-2.76
Os 0.2218 0.5563 0.5000  8 Os 2.70-2.77, 4 Re 2.70-2.78
Re 0.8899 0.2203 0.5000  6 Os 2.70-2.78, 6 Re 2.72-2.76
Os 0.6672 0.6655 0.0000  10 Os 2.70-2.77, 2 Re 2.75
Os 0.0004 0.9992 0.0000  8 Os 2.70-2.77, 4 Re 2.70-2.78

# 4
A plane-wave DFT calculation with PBE was carried out for crystalline Re4Os3 at its relaxed geometry.

Results
- D(E_F): 6.95 states/eV/f.u.
- Symmetry: Immm (71)

a = 9.0121 Å, b = 9.0121 Å, c = 9.0121 Å
α = 162.35°, β = 151.60°, γ = 33.64°
Closest atoms and distances in Å follow each position.
Positions (direct):
Re 0.6338 0.1338 0.5000  6 Os 2.69-2.73, 6 Re 2.71-2.81
Re 0.2243 0.2243 0.0000  10 Re 2.71-2.81, 2 Os 2.73
Os 0.9124 0.4124 0.5000  4 Os 2.68-2.77, 6 Re 2.73
Re 0.7757 0.7757 0.0000  10 Re 2.71-2.81, 2 Os 2.73
Re 0.3662 0.8662 0.5000  6 Os 2.69-2.73, 6 Re 2.71-2.81
Os 0.0876 0.5876 0.5000  4 Os 2.68-2.77, 6 Re 2.73
Os 0.5000 0.5000 0.0000  6 Os 2.68-2.77, 4 Re 2.69

no.,electronic total energy (eV/atom),formation energy from the elements (eV per atom)
1,-11.4229,0.503
2,-11.2612,0.121
3,-11.6800,-0.044
4,-11.7521,0.174